{"formula": "VIn2Bi", "functional": "PBE", "state": "relaxed", "lattice": [[1.651, 0.953, 11.571], [-1.651, 0.953, 11.571], [0.000, -1.906, 11.571]], "species": ["V", "In", "In", "Bi"], "fractional_positions": [[0.000, 0.000, 0.000], [0.082, 0.082, 0.082], [0.918, 0.918, 0.918], [0.500, 0.500, 0.500]], "e_form_ev_per_atom": 0.63, "final_energy_ev_per_atom": -3.99}